#w
The following is a DFT calculation (GGA-PBE) of a relaxed LaCuTc crystal.

```
LaCuTc
1.0
-2.594 -2.034 3.066
1.131 -4.067 1.564
1.458 -0.458 4.234
La Cu Tc
1 1 1
direct
0.500 0.500 0.500
0.000 0.000 0.000
0.750 0.750 0.750
```

## Properties
Size of the total moment ... 0.9 μB per formula unit
Volume ... 21.5 Å³/atom
Symmetry ... F-43m
Density ... 7.7 g/cm3

#x
The following is a DFT calculation (GGA-PBE) of a relaxed LaCuTc crystal.

```
LaCuTc
1.0
2.924 0.000 0.000
-1.462 2.532 0.000
0.000 0.000 7.607
Cu La Tc
1 1 1
direct
0.000 0.000 0.967
0.667 0.333 0.334
0.333 0.667 0.699
```

## Properties
Size of the total moment ... 0.0 μB per formula unit
Volume ... 18.8 Å³/atom
Symmetry ... P3m1
Density ... 8.9 g/cm3

Most stable to least stable, the ends of the list are #w and #x.